No. 1
VASP calculation (PBE) on an optimized crystal structure of Y2MgZn.

CIF file:
```
data_Y2MgZn
_chemical_formula_sum 'Y8 Mg4 Zn4'
_cell_length_a 7.367
_cell_length_b 7.367
_cell_length_c 7.367
_cell_angle_alpha 90.00
_cell_angle_beta 90.00
_cell_angle_gamma 90.00
_space_group_name_H-M_alt 'F m -3 m'
_space_group_IT_number 225
_space_group_name_Hall '-F 4 2 3'
loop_
_atom_site_label
_atom_site_type_symbol
_atom_site_fract_x
_atom_site_fract_y
_atom_site_fract_z
_atom_site_occupancy
Y1 Y 0.250 0.250 0.250 1
Mg1 Mg 0.000 0.000 0.000 1
Zn1 Zn 0.000 0.000 0.500 1
```

Output
Final energy = -66.4 eV/cell
Energy of formation = -0.199 eV per atom
Crystal system = cubic
D(E_F) = 1.29 states/eV per atom

No. 2
VASP calculation (PBE) on an optimized crystal structure of InReIr.

CIF file:
```
data_InReIr
_chemical_formula_sum 'In2 Re2 Ir2'
_cell_length_a 2.864
_cell_length_b 2.864
_cell_length_c 12.137
_cell_angle_alpha 90.00
_cell_angle_beta 90.00
_cell_angle_gamma 90.00
_space_group_name_H-M_alt 'I 4 m m'
_space_group_IT_number 107
_space_group_name_Hall 'I 4 -2'
loop_
_atom_site_label
_atom_site_type_symbol
_atom_site_fract_x
_atom_site_fract_y
_atom_site_fract_z
_atom_site_occupancy
In1 In 0.000 0.000 0.000 1
Re1 Re 0.000 0.000 0.320 1
Ir1 Ir 0.000 0.000 0.679 1
```

Output
Final energy = -47.4 eV/cell
Energy of formation = 0.111 eV per atom
Crystal system = tetragonal
D(E_F) = 1.18 states/eV per atom

No. 3
VASP calculation (PBE) on an optimized crystal structure of PrHoS3.

CIF file:
```
data_PrHoS3
_chemical_formula_sum 'Pr2 Ho2 S6'
_cell_length_a 7.878
_cell_length_b 3.977
_cell_length_c 7.899
_cell_angle_alpha 90.00
_cell_angle_beta 94.75
_cell_angle_gamma 90.00
_space_group_name_H-M_alt 'P 1 21/m 1'
_space_group_IT_number 11
loop_
_space_group_symop_operation_xyz
'x,y,z'
'-x,-y,-z'
'-x,y+1/2,-z'
'x,-y+1/2,z'
loop_
_atom_site_label
_atom_site_type_symbol
_atom_site_fract_x
_atom_site_fract_y
_atom_site_fract_z
_atom_site_occupancy
Pr1 Pr 0.124 0.250 0.271 1
Ho1 Ho 0.352 0.750 0.825 1
S1 S 0.127 0.250 0.887 1
S2 S 0.184 0.750 0.526 1
S3 S 0.405 0.750 0.179 1
```

Output
Final energy = -64.0 eV/cell
Crystal system = monoclinic
Formation energy from raw total energies = -2.057 eV per atom